# 1
An optimized crystal structure of Ti2Be2Co5Re, computed with PBE.

abc: 3.2895 8.3102 8.3102
angles: 90.00 90.00 90.00
Last column: nearest neighbours and their distance in Å.
Atoms (fractional coordinates):
Co: 0.5000 0.2115 0.0698  2 Be 2.21, 1 Co 2.47, 2 Re 2.48
Co: 0.5000 0.5698 0.7115  2 Be 2.21, 1 Co 2.47, 2 Re 2.48
Co: 0.5000 0.5000 0.0000  4 Be 2.14
Co: 0.5000 0.9302 0.2115  2 Be 2.21, 1 Co 2.47, 2 Re 2.48
Co: 0.5000 0.0000 0.5000  4 Be 2.14
Co: 0.5000 0.7115 0.4302  2 Be 2.21, 1 Co 2.47, 2 Re 2.48
Co: 0.5000 0.0698 0.7885  2 Be 2.21, 1 Co 2.47, 2 Re 2.48
Co: 0.5000 0.7885 0.9302  2 Be 2.21, 1 Co 2.47, 2 Re 2.48
Co: 0.5000 0.4302 0.2885  2 Be 2.21, 1 Co 2.47, 2 Re 2.48
Co: 0.5000 0.2885 0.5698  2 Be 2.21, 1 Co 2.47, 2 Re 2.48
Ti: 0.0000 0.6763 0.1763  3 Be 2.43-2.49, 6 Co 2.65-2.69
Ti: 0.0000 0.8237 0.6763  3 Be 2.43-2.49, 6 Co 2.65-2.69
Ti: 0.0000 0.3237 0.8237  3 Be 2.43-2.49, 6 Co 2.65-2.69
Ti: 0.0000 0.1763 0.3237  3 Be 2.43-2.49, 6 Co 2.65-2.69
Be: 0.0000 0.8829 0.3829  6 Co 2.14-2.21
Be: 0.0000 0.3829 0.1171  6 Co 2.14-2.21
Be: 0.0000 0.1171 0.6171  6 Co 2.14-2.21
Be: 0.0000 0.6171 0.8829  6 Co 2.14-2.21
Re: 0.0000 0.0000 0.0000  8 Co 2.48
Re: 0.0000 0.5000 0.5000  8 Co 2.48

Total DFT energy (no corrections): -7.39 eV/atom
DOS at the Fermi energy: 16.8 states/eV/cell

---

# 2
An optimized crystal structure of Pr2HoTe3, computed with PBE.

abc: 4.4555 6.2986 7.7698
angles: 113.91 106.66 90.00
Last column: nearest neighbours and their distance in Å.
Atoms (fractional coordinates):
Ho: 0.5000 0.5000 0.5000  6 Te 3.06-3.15
Te: 0.5000 0.0000 0.5000  2 Ho 3.15, 4 Pr 3.25
Te: 0.8445 0.3445 0.1891  2 Ho 3.06, 4 Pr 3.16-3.19
Te: 0.1555 0.6555 0.8109  2 Ho 3.06, 4 Pr 3.16-3.19
Pr: 0.1751 0.1751 0.8502  6 Te 3.16-3.25
Pr: 0.8249 0.8249 0.1498  6 Te 3.16-3.25

DOS at the Fermi energy: 3.2 states/eV/cell
ΔE_f (raw): -8.249 eV per formula unit

---

> Which value of DOS at the Fermi energy does entry 1 give?

16.8 states/eV/cell